## CaCe2Hg6 (PBE)

Data for a relaxed CaCe2Hg6 crystal.

Output
formation energy from the elements = -0.39 eV per atom

Structure (CIF):
```
data_CaCe2Hg6
_chemical_formula_sum 'Ca1 Ce2 Hg6'
_symmetry_space_group_name_H-M 'P 1'
_symmetry_Int_Tables_number 1
_cell_length_a 3.444
_cell_length_b 8.776
_cell_length_c 8.776
_cell_angle_alpha 60.00
_cell_angle_beta 89.99
_cell_angle_gamma 89.99
loop_
_symmetry_equiv_pos_as_xyz
'x,y,z'
loop_
_atom_site_label
_atom_site_fract_x
_atom_site_fract_y
_atom_site_fract_z
Ce1 0.000 0.333 0.333
Ca1 0.000 0.000 0.000
Hg1 0.499 0.668 0.000
Hg2 0.500 0.332 0.668
Hg3 0.499 0.000 0.668
Hg4 0.500 0.668 0.332
Ce2 0.000 0.667 0.667
Hg5 0.501 0.000 0.332
Hg6 0.501 0.332 0.000
```